The following is a PBE calculation of a geometry-optimized MgUPt6 structure, from Alexandria.

Properties
As for the energy above the lowest structure with this stoichiometry: 0.000 eV per atom. The formation enthalpy at 0 K is -0.731 eV/atom. Its size of the total moment is 0.48 μB/cell. For the total energy, the calculation gives -6.872 eV per atom.

Cell: 4.087 4.087 8.004 Å, 90.00 90.00 90.00°
Atoms (fractional coordinates):
Mg 0.000 0.000 0.000
U 0.000 0.000 0.500
Pt 0.000 0.500 0.248
Pt 0.000 0.500 0.752
Pt 0.500 0.000 0.248
Pt 0.500 0.000 0.752
Pt 0.500 0.500 0.000
Pt 0.500 0.500 0.500

***

The following is a PBE calculation of a geometry-optimized MgU2Pt9 structure, from Alexandria.

Properties
The formation enthalpy at 0 K is -0.728 eV/atom. Its size of the total moment is 2.44 μB/cell. For the total energy, the calculation gives -7.273 eV per atom.

Cell: 4.119 4.119 12.128 Å, 90.00 90.00 90.00°
Atoms (fractional coordinates):
Mg 0.000 0.000 0.000
U 0.000 0.000 0.325
U 0.000 0.000 0.675
Pt 0.000 0.500 0.162
Pt 0.000 0.500 0.500
Pt 0.000 0.500 0.838
Pt 0.500 0.000 0.162
Pt 0.500 0.000 0.500
Pt 0.500 0.000 0.838
Pt 0.500 0.500 0.000
Pt 0.500 0.500 0.330
Pt 0.500 0.500 0.670

***

The following is a PBE calculation of a geometry-optimized MgUZn2Pt2 structure, from Alexandria.

Properties
The formation enthalpy at 0 K is -0.521 eV/atom. Its size of the total moment is 2.30 μB/cell. For the total energy, the calculation gives -5.106 eV per atom.

Cell: 4.411 4.411 6.471 Å, 90.00 90.00 120.00°
Atoms (fractional coordinates):
Mg 0.000 0.000 0.000
U 0.000 0.000 0.500
Zn 0.333 0.667 0.190
Zn 0.667 0.333 0.810
Pt 0.333 0.667 0.752
Pt 0.667 0.333 0.248

***

The following is a PBE calculation of a geometry-optimized Mg2VPt9 structure, from Alexandria.

Properties
The formation enthalpy at 0 K is -0.590 eV/atom. Its size of the total moment is 0.00 μB/cell. For the total energy, the calculation gives -6.146 eV per atom.

Cell: 3.943 3.943 11.821 Å, 90.00 90.00 90.00°
Atoms (fractional coordinates):
Mg 0.000 0.000 0.165
Mg 0.000 0.000 0.835
V 0.000 0.000 0.500
Pt 0.000 0.500 0.000
Pt 0.000 0.500 0.340
Pt 0.000 0.500 0.660
Pt 0.500 0.000 0.000
Pt 0.500 0.000 0.340
Pt 0.500 0.000 0.660
Pt 0.500 0.500 0.169
Pt 0.500 0.500 0.500
Pt 0.500 0.500 0.831

***

The following is a PBE calculation of a geometry-optimized Mg2VPt8 structure, from Alexandria.

Properties
The formation enthalpy at 0 K is -0.513 eV/atom. Its size of the total moment is 0.00 μB/cell. For the total energy, the calculation gives -6.025 eV per atom.

Cell: 7.383 7.383 6.292 Å, 105.66 105.66 31.15°
Atoms (fractional coordinates):
Mg 0.224 0.224 0.146
Mg 0.776 0.776 0.854
V 0.500 0.500 0.500
Pt 0.045 0.045 0.226
Pt 0.134 0.134 0.677
Pt 0.321 0.321 0.584
Pt 0.408 0.408 0.059
Pt 0.592 0.592 0.941
Pt 0.679 0.679 0.416
Pt 0.866 0.866 0.323
Pt 0.955 0.955 0.774

***

The following is a PBE calculation of a geometry-optimized MgVPt3 structure, from Alexandria.

Properties
As for the energy above the lowest structure with this stoichiometry: 0.000 eV per atom. The formation enthalpy at 0 K is 0.335 eV/atom. Its size of the total moment is 0.00 μB/cell. For the total energy, the calculation gives -5.432 eV per atom.

Cell: 4.659 4.659 4.659 Å, 90.00 90.00 90.00°
Atoms (fractional coordinates):
Mg 0.000 0.000 0.000
V 0.500 0.500 0.500
Pt 0.000 0.500 0.500
Pt 0.500 0.000 0.500
Pt 0.500 0.500 0.000

***

The following is a PBE calculation of a geometry-optimized MgVPt14 structure, from Alexandria.

Properties
The formation enthalpy at 0 K is -0.296 eV/atom. Its size of the total moment is 0.07 μB/cell. For the total energy, the calculation gives -6.251 eV per atom.

Cell: 5.599 5.599 7.865 Å, 90.00 90.00 90.00°
Atoms (fractional coordinates):
Mg 0.000 0.000 0.000
V 0.500 0.500 0.000
Pt 0.000 0.000 0.500
Pt 0.000 0.500 0.000
Pt 0.000 0.500 0.500
Pt 0.253 0.253 0.243
Pt 0.253 0.253 0.757
Pt 0.253 0.747 0.243
Pt 0.253 0.747 0.757
Pt 0.500 0.000 0.000
Pt 0.500 0.000 0.500
Pt 0.500 0.500 0.500
Pt 0.747 0.253 0.243
Pt 0.747 0.253 0.757
Pt 0.747 0.747 0.243
Pt 0.747 0.747 0.757

***

The following is a PBE calculation of a geometry-optimized MgV2Pt2 structure, from Alexandria.

Properties
As for the energy above the lowest structure with this stoichiometry: 0.000 eV per atom. The formation enthalpy at 0 K is -0.409 eV/atom. Its size of the total moment is 0.00 μB/cell. For the total energy, the calculation gives -6.791 eV per atom.

Cell: 7.602 7.602 2.745 Å, 90.00 90.00 90.00°
Atoms (fractional coordinates):
Mg 0.000 0.000 0.000
Mg 0.500 0.500 0.000
V 0.110 0.390 0.000
V 0.390 0.890 0.000
V 0.610 0.110 0.000
V 0.890 0.610 0.000
Pt 0.180 0.680 0.500
Pt 0.320 0.180 0.500
Pt 0.680 0.820 0.500
Pt 0.820 0.320 0.500